{"formula": "ZrCd", "functional": "PBE", "state": "relaxed", "n_ef_per_ev_cell": 6.72, "density_g_cm3": 7.3, "delta_e_f_ev_per_atom": -0.029, "crystal_system": "trigonal", "spacegroup": "R-3m", "energy_ry_per_atom": -0.350, "magmom_total_mub_per_cell": 0.0, "cell": [[3.2800, 0.0000, 0.0000], [-1.6400, 2.8406, 0.0000], [0.0000, 0.0000, 29.8331]], "species": ["Zr", "Zr", "Zr", "Zr", "Zr", "Zr", "Cd", "Cd", "Cd", "Cd", "Cd", "Cd"], "fractional_positions": [[0.0000, 0.0000, 0.1261], [0.0000, 0.0000, 0.8739], [0.3333, 0.6667, 0.5406], [0.3333, 0.6667, 0.7928], [0.6667, 0.3333, 0.2072], [0.6667, 0.3333, 0.4594], [0.0000, 0.0000, 0.3747], [0.0000, 0.0000, 0.6253], [0.3333, 0.6667, 0.0414], [0.3333, 0.6667, 0.2919], [0.6667, 0.3333, 0.7081], [0.6667, 0.3333, 0.9586]]}